#w
# YGaNF2 (PBE, optimized geometry)
data_YGaNF2
_cell_length_a 4.374
_cell_length_b 4.374
_cell_length_c 4.686
_cell_angle_alpha 90.00
_cell_angle_beta 90.00
_cell_angle_gamma 90.00
_symmetry_space_group_name_H-M 'P 1'
_symmetry_Int_Tables_number 1
loop_
_symmetry_equiv_pos_as_xyz
'x,y,z'
loop_
_atom_site_label
_atom_site_fract_x
_atom_site_fract_y
_atom_site_fract_z
Y1 0.000 0.000 0.000
Ga1 0.500 0.500 0.500
N1 0.000 0.000 0.500
F1 0.000 0.500 0.000
F2 0.500 0.000 0.000
# Density   3.90 g cm⁻³
# Spin magnetization   1.009 μB/f.u.


#x
# YGaNF2 (PBE, optimized geometry)
data_YGaNF2
_cell_length_a 4.206
_cell_length_b 4.206
_cell_length_c 3.693
_cell_angle_alpha 90.00
_cell_angle_beta 90.00
_cell_angle_gamma 90.00
_symmetry_space_group_name_H-M 'P 1'
_symmetry_Int_Tables_number 1
loop_
_symmetry_equiv_pos_as_xyz
'x,y,z'
loop_
_atom_site_label
_atom_site_fract_x
_atom_site_fract_y
_atom_site_fract_z
Y1 0.000 0.000 0.000
Ga1 0.500 0.500 0.500
N1 0.500 0.500 0.000
F1 0.000 0.500 0.500
F2 0.500 0.000 0.500
# Density   5.35 g cm⁻³
# Spin magnetization   0.000 μB/f.u.


From most stable to least stable, the computed energies give #w, #x.


#w
# ZnGaN2F (PBE, optimized geometry)
data_ZnGaN2F
_cell_length_a 3.911
_cell_length_b 3.911
_cell_length_c 3.908
_cell_angle_alpha 90.00
_cell_angle_beta 90.00
_cell_angle_gamma 90.00
_symmetry_space_group_name_H-M 'P 1'
_symmetry_Int_Tables_number 1
loop_
_symmetry_equiv_pos_as_xyz
'x,y,z'
loop_
_atom_site_label
_atom_site_fract_x
_atom_site_fract_y
_atom_site_fract_z
Zn1 0.000 0.000 0.000
Ga1 0.500 0.500 0.500
N1 0.000 0.500 0.500
N2 0.500 0.000 0.500
F1 0.500 0.500 0.000
# Density   5.06 g cm⁻³
# Spin magnetization   1.346 μB/f.u.


#x
# ZnGaN2F (PBE, optimized geometry)
data_ZnGaN2F
_cell_length_a 3.891
_cell_length_b 3.891
_cell_length_c 3.985
_cell_angle_alpha 90.00
_cell_angle_beta 90.00
_cell_angle_gamma 90.00
_symmetry_space_group_name_H-M 'P 1'
_symmetry_Int_Tables_number 1
loop_
_symmetry_equiv_pos_as_xyz
'x,y,z'
loop_
_atom_site_label
_atom_site_fract_x
_atom_site_fract_y
_atom_site_fract_z
Zn1 0.000 0.000 0.000
Ga1 0.500 0.500 0.500
N1 0.000 0.500 0.000
N2 0.500 0.000 0.000
F1 0.000 0.000 0.500
# Density   5.01 g cm⁻³
# Spin magnetization   0.560 μB/f.u.


From most stable to least stable, the computed energies give #w, #x.


#w
# Na2GaF (PBE, optimized geometry)
data_Na2GaF
_cell_length_a 6.259
_cell_length_b 6.259
_cell_length_c 6.259
_cell_angle_alpha 115.07
_cell_angle_beta 115.07
_cell_angle_gamma 98.78
_symmetry_space_group_name_H-M 'P 1'
_symmetry_Int_Tables_number 1
loop_
_symmetry_equiv_pos_as_xyz
'x,y,z'
loop_
_atom_site_label
_atom_site_fract_x
_atom_site_fract_y
_atom_site_fract_z
Na1 0.010 0.625 0.885
Na2 0.375 0.260 0.385
Na3 0.740 0.125 0.115
Na4 0.875 0.990 0.615
Ga1 0.250 0.750 0.500
Ga2 0.500 0.500 0.000
F1 0.000 0.000 0.000
F2 0.750 0.250 0.500
# Density   2.43 g cm⁻³
# Spin magnetization   0.000 μB/f.u.


#x
# Na2GaF (PBE, optimized geometry)
data_Na2GaF
_cell_length_a 4.962
_cell_length_b 4.962
_cell_length_c 4.962
_cell_angle_alpha 60.00
_cell_angle_beta 60.00
_cell_angle_gamma 60.00
_symmetry_space_group_name_H-M 'P 1'
_symmetry_Int_Tables_number 1
loop_
_symmetry_equiv_pos_as_xyz
'x,y,z'
loop_
_atom_site_label
_atom_site_fract_x
_atom_site_fract_y
_atom_site_fract_z
Na1 0.250 0.250 0.250
Na2 0.750 0.750 0.750
Ga1 0.000 0.000 0.000
F1 0.500 0.500 0.500
# Density   2.59 g cm⁻³
# Spin magnetization   0.000 μB/f.u.


From most stable to least stable, the computed energies give #w, #x.


#w
# NaGaOF2 (PBE, optimized geometry)
data_NaGaOF2
_cell_length_a 4.117
_cell_length_b 4.117
_cell_length_c 4.329
_cell_angle_alpha 90.00
_cell_angle_beta 90.00
_cell_angle_gamma 90.00
_symmetry_space_group_name_H-M 'P 1'
_symmetry_Int_Tables_number 1
loop_
_symmetry_equiv_pos_as_xyz
'x,y,z'
loop_
_atom_site_label
_atom_site_fract_x
_atom_site_fract_y
_atom_site_fract_z
Na1 0.000 0.000 0.000
Ga1 0.500 0.500 0.500
O1 0.000 0.000 0.500
F1 0.000 0.500 0.000
F2 0.500 0.000 0.000
# Density   3.32 g cm⁻³
# Spin magnetization   1.902 μB/f.u.


#x
# NaGaOF2 (PBE, optimized geometry)
data_NaGaOF2
_cell_length_a 4.084
_cell_length_b 4.084
_cell_length_c 3.625
_cell_angle_alpha 90.00
_cell_angle_beta 90.00
_cell_angle_gamma 90.00
_symmetry_space_group_name_H-M 'P 1'
_symmetry_Int_Tables_number 1
loop_
_symmetry_equiv_pos_as_xyz
'x,y,z'
loop_
_atom_site_label
_atom_site_fract_x
_atom_site_fract_y
_atom_site_fract_z
Na1 0.000 0.000 0.000
Ga1 0.500 0.500 0.500
O1 0.500 0.500 0.000
F1 0.000 0.500 0.500
F2 0.500 0.000 0.500
# Density   4.03 g cm⁻³
# Spin magnetization   0.000 μB/f.u.


From most stable to least stable, the computed energies give #x, #w.


#w
# NbGaF3 (PBE, optimized geometry)
data_NbGaF3
_cell_length_a 4.362
_cell_length_b 4.362
_cell_length_c 4.362
_cell_angle_alpha 90.00
_cell_angle_beta 90.00
_cell_angle_gamma 90.00
_symmetry_space_group_name_H-M 'P 1'
_symmetry_Int_Tables_number 1
loop_
_symmetry_equiv_pos_as_xyz
'x,y,z'
loop_
_atom_site_label
_atom_site_fract_x
_atom_site_fract_y
_atom_site_fract_z
Nb1 0.000 0.000 0.000
Ga1 0.500 0.500 0.500
F1 0.000 0.000 0.500
F2 0.000 0.500 0.000
F3 0.500 0.000 0.000
# Density   4.39 g cm⁻³
# Spin magnetization   2.864 μB/f.u.


#x
# NbGaF3 (PBE, optimized geometry)
data_NbGaF3
_cell_length_a 4.258
_cell_length_b 4.258
_cell_length_c 4.258
_cell_angle_alpha 90.00
_cell_angle_beta 90.00
_cell_angle_gamma 90.00
_symmetry_space_group_name_H-M 'P 1'
_symmetry_Int_Tables_number 1
loop_
_symmetry_equiv_pos_as_xyz
'x,y,z'
loop_
_atom_site_label
_atom_site_fract_x
_atom_site_fract_y
_atom_site_fract_z
Nb1 0.000 0.000 0.000
Ga1 0.500 0.500 0.500
F1 0.000 0.500 0.500
F2 0.500 0.000 0.500
F3 0.500 0.500 0.000
# Density   4.72 g cm⁻³
# Spin magnetization   3.685 μB/f.u.


From most stable to least stable, the computed energies give #w, #x.